Record 1
An optimized crystal structure of SbAsS2Br, computed with PBE.

The structure belongs to space group P4/mmm (No. 123); the cell edges are 4.7294, 4.7294 and 5.8233 Å and the angles 90.00°, 90.00° and 90.00°. Symmetry generates all atoms from Sb at (0.0000, 0.0000, 0.0000), As at (0.5000, 0.5000, 0.0000), S at (0.0000, 0.5000, 0.5000) and Br at (0.0000, 0.0000, 0.5000).

Its crystal system is tetragonal. The uncorrected formation energy is 1.120 eV/atom.


Record 2
An optimized crystal structure of KTlAs2, computed with PBE.

The structure belongs to space group I-42d (No. 122); the cell edges are 8.3390, 8.3390 and 6.5064 Å and the angles 90.00°, 90.00° and 90.00°. Symmetry generates all atoms from K at (0.0000, 0.0000, 0.0000), Tl at (0.0000, 0.0000, 0.5000) and As at (0.2013, 0.2500, 0.6250).

Its crystal system is tetragonal. As for the energy of formation: 58 meV per atom.


Record 3
An optimized crystal structure of CaY2CdTc, computed with PBE.

The structure belongs to space group P4/mmm (No. 123); the cell edges are 5.6134, 5.6134 and 5.5086 Å and the angles 90.00°, 90.00° and 90.00°. Symmetry generates all atoms from Ca at (0.0000, 0.0000, 0.0000), Y at (0.0000, 0.5000, 0.5000), Cd at (0.0000, 0.0000, 0.5000) and Tc at (0.5000, 0.5000, 0.0000).

Its crystal system is tetragonal. As for the energy of formation: 1056 meV per atom.


Record 4
An optimized crystal structure of La8Sn3TeI4, computed with PBE.

The structure belongs to space group R-3m (No. 166, hexagonal axes); the cell edges are 9.3459, 9.3459 and 22.4473 Å and the angles 90.00°, 90.00° and 120.00°. Symmetry generates all atoms from La at (0.0000, 0.0000, 0.2421), La at (0.0046, 0.5023, 0.7575), Sn at (0.0000, 0.5000, 0.5000), Te at (0.0000, 0.0000, 0.5000), I at (0.0000, 0.0000, 0.0000) and I at (0.0000, 0.5000, 0.0000).

Its crystal system is trigonal. The uncorrected formation energy is -1.065 eV/atom.


Record 5
An optimized crystal structure of AlRuC3, computed with PBE.

The structure belongs to space group Pm-3m (No. 221); the cell edges are 3.8293, 3.8293 and 3.8293 Å and the angles 90.00°, 90.00° and 90.00°. Symmetry generates all atoms from Al at (0.0000, 0.0000, 0.0000), Ru at (0.5000, 0.5000, 0.5000) and C at (0.0000, 0.0000, 0.5000).

Its crystal system is cubic. As for the energy of formation: 2510 meV per atom.


Record 6
An optimized crystal structure of Ac3GaHg, computed with PBE.

The structure belongs to space group Cmcm (No. 63); the cell edges are 5.6889, 21.2960 and 5.7017 Å and the angles 90.00°, 90.00° and 90.00°. Symmetry generates all atoms from Ac at (0.0000, 0.0632, 0.2500), Ac at (0.0000, 0.2471, 0.2500), Ac at (0.0000, 0.4299, 0.2500), Ga at (0.0000, 0.1542, 0.7500) and Hg at (0.0000, 0.3441, 0.7500).

Its crystal system is orthorhombic. As for the energy of formation: -344 meV per atom.